Computed, not measured: TmZrGaTc after structural relaxation at the PBE-GGA level of DFT.

a = 4.792 Å, b = 4.792 Å, c = 4.792 Å
α = 60.00°, β = 60.00°, γ = 60.00°
Positions (direct):
Tm 0.000 0.000 0.000
Zr 0.500 0.500 0.500
Ga 0.750 0.750 0.750
Tc 0.250 0.250 0.250

## Properties
**ΔH_f (0 K)**: -0.35 eV per atom
**Space group**: F-43m (216)

***

Computed, not measured: CrAgMo3 after structural relaxation at the PBE-GGA level of DFT.

a = 4.480 Å, b = 4.480 Å, c = 4.480 Å
α = 90.00°, β = 90.00°, γ = 90.00°
Positions (direct):
Cr 0.000 0.000 0.000
Ag 0.500 0.500 0.500
Mo 0.000 0.000 0.500
Mo 0.000 0.500 0.000
Mo 0.500 0.000 0.000

## Properties
**ΔH_f (0 K)**: 1.22 eV per atom
**Energy above the lowest structure with this stoichiometry**: 0.0000 eV per atom
**Space group**: Pm-3m (221)

***

Computed, not measured: TiNbSi2B after structural relaxation at the PBE-GGA level of DFT.

a = 4.739 Å, b = 4.739 Å, c = 4.186 Å
α = 90.00°, β = 90.00°, γ = 90.00°
Positions (direct):
Ti 0.000 0.000 0.000
Nb 0.500 0.500 0.500
Si 0.000 0.500 0.500
Si 0.500 0.000 0.500
B 0.500 0.500 0.000

## Properties
**Formation energy (no corrections)**: 977 meV/atom
**Space group**: P4/mmm (123)

***

Computed, not measured: CaYPb2 after structural relaxation at the PBE-GGA level of DFT.

a = 5.768 Å, b = 5.768 Å, c = 3.575 Å
α = 90.00°, β = 90.00°, γ = 101.81°
Positions (direct):
Ca 0.000 0.000 0.000
Y 0.500 0.500 0.000
Pb 0.000 0.500 0.500
Pb 0.500 0.000 0.500

## Properties
**ΔH_f (0 K)**: -0.49 eV per atom
**Space group**: Cmmm (65)

***

Computed, not measured: TcAgSeN2 after structural relaxation at the PBE-GGA level of DFT.

a = 3.825 Å, b = 3.825 Å, c = 5.505 Å
α = 90.00°, β = 90.00°, γ = 90.00°
Positions (direct):
Tc 0.000 0.000 0.000
Ag 0.500 0.500 0.500
Se 0.000 0.000 0.500
N 0.000 0.500 0.000
N 0.500 0.000 0.000

## Properties
**Formation energy (no corrections)**: 529 meV/atom
**Energy above the lowest structure with this stoichiometry**: 0.0000 eV per atom
**Space group**: P4/mmm (123)

***

Computed, not measured: Mg3Cu5 after structural relaxation at the PBE-GGA level of DFT.

a = 3.200 Å, b = 3.200 Å, c = 11.432 Å
α = 90.00°, β = 90.00°, γ = 90.00°
Positions (direct):
Mg 0.000 0.000 0.000
Mg 0.500 0.500 0.368
Mg 0.500 0.500 0.632
Cu 0.000 0.000 0.237
Cu 0.000 0.000 0.500
Cu 0.000 0.000 0.763
Cu 0.500 0.500 0.131
Cu 0.500 0.500 0.869

## Properties
**ΔH_f (0 K)**: -0.06 eV per atom
**Energy above the lowest structure with this stoichiometry**: 0.0000 eV per atom
**Space group**: P4/mmm (123)

***

Computed, not measured: Hg2Ge2Pd7 after structural relaxation at the PBE-GGA level of DFT.

a = 5.982 Å, b = 5.982 Å, c = 5.778 Å
α = 90.06°, β = 90.06°, γ = 81.12°
Positions (direct):
Hg 0.182 0.818 0.000
Hg 0.818 0.182 0.000
Ge 0.281 0.281 0.500
Ge 0.719 0.719 0.500
Pd 0.000 0.000 0.500
Pd 0.000 0.500 0.249
Pd 0.000 0.500 0.751
Pd 0.500 0.000 0.249
Pd 0.500 0.000 0.751
Pd 0.500 0.500 0.243
Pd 0.500 0.500 0.757

## Properties
**ΔH_f (0 K)**: -0.19 eV per atom
**Space group**: C2/m (12)

***

Computed, not measured: Sb4Au3 after structural relaxation at the PBE-GGA level of DFT.

a = 7.621 Å, b = 7.621 Å, c = 7.621 Å
α = 109.47°, β = 109.47°, γ = 109.47°
Positions (direct):
Sb 0.000 0.119 0.500
Sb 0.000 0.619 0.500
Sb 0.119 0.500 0.000
Sb 0.381 0.381 0.381
Sb 0.500 0.000 0.119
Sb 0.500 0.000 0.619
Sb 0.619 0.500 0.000
Sb 0.881 0.881 0.881
Au 0.125 0.875 0.250
Au 0.250 0.125 0.875
Au 0.375 0.625 0.750
Au 0.625 0.750 0.375
Au 0.750 0.375 0.625
Au 0.875 0.250 0.125

## Properties
**Formation energy (no corrections)**: 79 meV/atom
**Energy above the lowest structure with this stoichiometry**: 0.0000 eV per atom
**Space group**: I-43d (220)

***

Computed, not measured: OsRu2 after structural relaxation at the PBE-GGA level of DFT.

a = 4.996 Å, b = 4.996 Å, c = 4.996 Å
α = 60.00°, β = 60.00°, γ = 60.00°
Positions (direct):
Os 0.125 0.125 0.125
Os 0.875 0.875 0.875
Ru 0.000 0.500 0.500
Ru 0.500 0.000 0.500
Ru 0.500 0.500 0.000
Ru 0.500 0.500 0.500

## Properties
**ΔH_f (0 K)**: 0.73 eV per atom
**Energy above the lowest structure with this stoichiometry**: 0.7365 eV per atom
**Space group**: Fd-3m (227)

***

Computed, not measured: Ni5Rh after structural relaxation at the PBE-GGA level of DFT.

a = 2.563 Å, b = 2.563 Å, c = 10.518 Å
α = 90.00°, β = 90.00°, γ = 90.00°
Positions (direct):
Ni 0.000 0.000 0.000
Ni 0.000 0.000 0.322
Ni 0.000 0.000 0.678
Ni 0.500 0.500 0.160
Ni 0.500 0.500 0.840
Rh 0.500 0.500 0.500

## Properties
**ΔH_f (0 K)**: 0.04 eV per atom
**Space group**: P4/mmm (123)

***

Computed, not measured: Sr2SmScS4 after structural relaxation at the PBE-GGA level of DFT.

a = 6.947 Å, b = 4.019 Å, c = 7.132 Å
α = 90.00°, β = 108.98°, γ = 90.00°
Positions (direct):
Sr 0.000 0.000 0.000
Sr 0.500 0.500 0.000
Sm 0.000 0.500 0.500
Sc 0.500 0.000 0.500
S 0.255 0.000 0.730
S 0.270 0.500 0.278
S 0.730 0.500 0.722
S 0.745 0.000 0.270

## Properties
**Formation energy (no corrections)**: -1975 meV/atom
**Space group**: P2/m (10)

***

Computed, not measured: NaPr2ErSe4 after structural relaxation at the PBE-GGA level of DFT.

a = 7.257 Å, b = 4.171 Å, c = 7.285 Å
α = 90.00°, β = 109.04°, γ = 90.00°
Positions (direct):
Na 0.000 0.000 0.000
Pr 0.000 0.500 0.500
Pr 0.500 0.000 0.500
Er 0.500 0.500 0.000
Se 0.253 0.500 0.239
Se 0.259 0.000 0.767
Se 0.741 0.000 0.233
Se 0.747 0.500 0.761

## Properties
**Formation energy (no corrections)**: -1738 meV/atom
**Space group**: P2/m (10)

***

Computed, not measured: Pm6Tc2Sn after structural relaxation at the PBE-GGA level of DFT.

a = 8.727 Å, b = 8.727 Å, c = 8.727 Å
α = 112.34°, β = 111.67°, γ = 104.51°
Positions (direct):
Pm 0.036 0.242 0.794
Pm 0.187 0.280 0.467
Pm 0.187 0.720 0.907
Pm 0.332 0.020 0.688
Pm 0.332 0.644 0.312
Pm 0.448 0.242 0.206
Pm 0.552 0.758 0.794
Pm 0.668 0.356 0.688
Pm 0.668 0.980 0.312
Pm 0.813 0.280 0.093
Pm 0.813 0.720 0.533
Pm 0.964 0.758 0.206
Tc 0.112 0.612 0.500
Tc 0.324 0.000 0.324
Tc 0.676 0.000 0.676
Tc 0.888 0.388 0.500
Sn 0.000 0.000 0.000
Sn 0.500 0.500 0.000

## Properties
**ΔH_f (0 K)**: -0.19 eV per atom
**Space group**: Immm (71)

***

Computed, not measured: ZrCdHg2 after structural relaxation at the PBE-GGA level of DFT.

a = 3.255 Å, b = 3.306 Å, c = 8.114 Å
α = 90.00°, β = 90.00°, γ = 90.00°
Positions (direct):
Zr 0.000 0.000 0.000
Cd 0.000 0.000 0.500
Hg 0.500 0.500 0.248
Hg 0.500 0.500 0.752

## Properties
**ΔH_f (0 K)**: -0.09 eV per atom
**Space group**: Pmmm (47)

***

Computed, not measured: BeGa2Sn2 after structural relaxation at the PBE-GGA level of DFT.

a = 6.322 Å, b = 6.322 Å, c = 5.199 Å
α = 90.00°, β = 90.00°, γ = 90.00°
Positions (direct):
Be 0.000 0.000 0.000
Be 0.500 0.500 0.000
Ga 0.149 0.351 0.000
Ga 0.351 0.851 0.000
Ga 0.649 0.149 0.000
Ga 0.851 0.649 0.000
Sn 0.182 0.682 0.500
Sn 0.318 0.182 0.500
Sn 0.682 0.818 0.500
Sn 0.818 0.318 0.500

## Properties
**ΔH_f (0 K)**: 0.25 eV per atom
**Energy above the lowest structure with this stoichiometry**: 0.0000 eV per atom
**Space group**: P4/mbm (127)

***

Computed, not measured: Cd5Hg12Pb2 after structural relaxation at the PBE-GGA level of DFT.

a = 12.487 Å, b = 12.487 Å, c = 5.474 Å
α = 95.44°, β = 95.44°, γ = 36.70°
Positions (direct):
Cd 0.000 0.000 0.000
Cd 0.182 0.182 0.066
Cd 0.306 0.306 0.808
Cd 0.694 0.694 0.192
Cd 0.818 0.818 0.934
Hg 0.076 0.499 0.295
Hg 0.124 0.124 0.528
Hg 0.192 0.630 0.953
Hg 0.370 0.808 0.047
Hg 0.401 0.401 0.440
Hg 0.499 0.076 0.295
Hg 0.501 0.924 0.705
Hg 0.599 0.599 0.560
Hg 0.630 0.192 0.953
Hg 0.808 0.370 0.047
Hg 0.876 0.876 0.472
Hg 0.924 0.501 0.705
Pb 0.220 0.780 0.500
Pb 0.780 0.220 0.500

## Properties
**ΔH_f (0 K)**: 0.03 eV per atom
**Space group**: C2/m (12)

***

Computed, not measured: CaSnMoN2 after structural relaxation at the PBE-GGA level of DFT.

a = 4.379 Å, b = 4.379 Å, c = 5.278 Å
α = 90.00°, β = 90.00°, γ = 90.00°
Positions (direct):
Ca 0.000 0.000 0.000
Sn 0.500 0.500 0.500
Mo 0.500 0.500 0.000
N 0.000 0.500 0.500
N 0.500 0.000 0.500

## Properties
**Formation energy (no corrections)**: 1646 meV/atom
**Energy above the lowest structure with this stoichiometry**: 1.3069 eV per atom
**Space group**: P4/mmm (123)

***

Computed, not measured: Th2HgPd after structural relaxation at the PBE-GGA level of DFT.

a = 5.279 Å, b = 5.279 Å, c = 5.279 Å
α = 60.00°, β = 60.00°, γ = 60.00°
Positions (direct):
Th 0.250 0.250 0.250
Th 0.750 0.750 0.750
Hg 0.000 0.000 0.000
Pd 0.500 0.500 0.500

## Properties
**ΔH_f (0 K)**: -0.35 eV per atom
**Energy above the lowest structure with this stoichiometry**: 0.0777 eV per atom
**Space group**: Fm-3m (225)

***

Computed, not measured: Na4Sc3SbO8 after structural relaxation at the PBE-GGA level of DFT.

a = 6.670 Å, b = 6.670 Å, c = 6.670 Å
α = 58.59°, β = 58.59°, γ = 58.59°
Positions (direct):
Na 0.000 0.000 0.000
Na 0.000 0.500 0.500
Na 0.500 0.000 0.500
Na 0.500 0.500 0.000
Sc 0.000 0.000 0.500
Sc 0.000 0.500 0.000
Sc 0.500 0.000 0.000
Sb 0.500 0.500 0.500
O 0.218 0.745 0.745
O 0.234 0.234 0.234
O 0.255 0.255 0.782
O 0.255 0.782 0.255
O 0.745 0.218 0.745
O 0.745 0.745 0.218
O 0.766 0.766 0.766
O 0.782 0.255 0.255

## Properties
**Formation energy (no corrections)**: -2435 meV/atom
**Space group**: R-3m (166)

***

Computed, not measured: LiTcIr2 after structural relaxation at the PBE-GGA level of DFT.

a = 5.013 Å, b = 5.013 Å, c = 5.013 Å
α = 147.24°, β = 127.18°, γ = 63.56°
Positions (direct):
Li 0.000 0.000 0.000
Tc 0.500 0.500 0.000
Ir 0.233 0.733 0.500
Ir 0.767 0.267 0.500

## Properties
**ΔH_f (0 K)**: 0.03 eV per atom
**Energy above the lowest structure with this stoichiometry**: 0.1491 eV per atom
**Space group**: Immm (71)

***

Computed, not measured: NdIn6Pd12 after structural relaxation at the PBE-GGA level of DFT.

a = 7.559 Å, b = 7.559 Å, c = 7.559 Å
α = 105.96°, β = 105.96°, γ = 105.96°
Positions (direct):
Nd 0.000 0.000 0.000
In 0.285 0.285 0.703
In 0.285 0.703 0.285
In 0.297 0.715 0.715
In 0.703 0.285 0.285
In 0.715 0.297 0.715
In 0.715 0.715 0.297
Pd 0.115 0.500 0.885
Pd 0.115 0.885 0.500
Pd 0.124 0.366 0.366
Pd 0.366 0.124 0.366
Pd 0.366 0.366 0.124
Pd 0.500 0.115 0.885
Pd 0.500 0.885 0.115
Pd 0.634 0.634 0.876
Pd 0.634 0.876 0.634
Pd 0.876 0.634 0.634
Pd 0.885 0.115 0.500
Pd 0.885 0.500 0.115

## Properties
**ΔH_f (0 K)**: -0.40 eV per atom
**Space group**: R-3m (166)

***

Computed, not measured: VGe2Se4 after structural relaxation at the PBE-GGA level of DFT.

a = 7.306 Å, b = 7.306 Å, c = 7.306 Å
α = 138.85°, β = 138.85°, γ = 59.61°
Positions (direct):
V 0.000 0.000 0.000
Ge 0.384 0.384 0.000
Ge 0.616 0.616 0.000
Se 0.000 0.500 0.500
Se 0.193 0.193 0.000
Se 0.500 0.000 0.500
Se 0.807 0.807 0.000

## Properties
**Formation energy (no corrections)**: -30 meV/atom
**Energy above the lowest structure with this stoichiometry**: 0.3765 eV per atom
**Space group**: I4/mmm (139)

***

Computed, not measured: MgZnSiAg after structural relaxation at the PBE-GGA level of DFT.

a = 4.604 Å, b = 4.604 Å, c = 4.604 Å
α = 60.00°, β = 60.00°, γ = 60.00°
Positions (direct):
Mg 0.000 0.000 0.000
Zn 0.500 0.500 0.500
Si 0.750 0.750 0.750
Ag 0.250 0.250 0.250

## Properties
**Formation energy (no corrections)**: 123 meV/atom
**Space group**: F-43m (216)